NaHfOs2: relaxed, PBE-GGA. Values from VASP.

Quantum ESPRESSO input file:
```
&SYSTEM
  ibrav = 0, nat = 8, ntyp = 3
/
ATOMIC_SPECIES
Hf 178.49 Hf.upf
Os 190.23 Os.upf
Na 22.99 Na.upf
CELL_PARAMETERS angstrom
-2.344 -3.007 -6.418
-5.363 -3.668 3.677
-5.489 -1.302 -1.727
ATOMIC_POSITIONS crystal
Hf 0.000 0.000 0.000
Hf 0.750 0.250 0.500
Os 0.636 0.125 0.250
Os 0.114 0.625 0.250
Os 0.375 0.364 0.750
Os 0.875 0.886 0.750
Na 0.500 0.500 0.000
Na 0.250 0.750 0.500
```

Energy relative to the elements ... 0.9802 eV per atom
Calculated volume ... 73.42 Å³/f.u.
ΔE to the lowest computed polymorph ... 458.2 meV/atom


Na2HfOs: relaxed, PBE-GGA. Values from VASP.

Quantum ESPRESSO input file:
```
&SYSTEM
  ibrav = 0, nat = 4, ntyp = 3
/
ATOMIC_SPECIES
Hf 178.49 Hf.upf
Os 190.23 Os.upf
Na 22.99 Na.upf
CELL_PARAMETERS angstrom
0.000 3.353 3.353
3.353 0.000 3.353
3.353 3.353 0.000
ATOMIC_POSITIONS crystal
Hf 0.000 0.000 0.000
Os 0.500 0.500 0.500
Na 0.250 0.250 0.250
Na 0.750 0.750 0.750
```

Energy relative to the elements ... 1.2596 eV per atom
Calculated volume ... 75.39 Å³/f.u.
ΔE to the lowest computed polymorph ... 700.4 meV/atom


NaHfOs2: relaxed, PBE-GGA. Values from VASP.

Quantum ESPRESSO input file:
```
&SYSTEM
  ibrav = 0, nat = 4, ntyp = 3
/
ATOMIC_SPECIES
Hf 178.49 Hf.upf
Os 190.23 Os.upf
Na 22.99 Na.upf
CELL_PARAMETERS angstrom
3.295 1.699 2.642
-0.936 1.274 4.269
1.591 -2.434 3.502
ATOMIC_POSITIONS crystal
Hf 0.500 0.500 0.500
Os 0.250 0.250 0.250
Os 0.750 0.750 0.750
Na 0.000 0.000 0.000
```

Energy relative to the elements ... 0.5220 eV per atom
Calculated volume ... 66.69 Å³/f.u.
ΔE to the lowest computed polymorph ... 0.0 meV/atom


NaHfScOs2: relaxed, PBE-GGA. Values from VASP.

Quantum ESPRESSO input file:
```
&SYSTEM
  ibrav = 0, nat = 5, ntyp = 4
/
ATOMIC_SPECIES
Sc 44.96 Sc.upf
Hf 178.49 Hf.upf
Os 190.23 Os.upf
Na 22.99 Na.upf
CELL_PARAMETERS angstrom
-2.082 -3.947 -1.583
1.787 0.523 -3.654
3.718 -2.545 1.454
ATOMIC_POSITIONS crystal
Sc 0.000 0.500 0.000
Hf 0.500 0.500 0.500
Os 0.000 0.000 0.500
Os 0.500 0.000 0.000
Na 0.000 0.000 0.000
```

Energy relative to the elements ... 1.5325 eV per atom
Calculated volume ... 91.95 Å³/f.u.


Na2HfTaOs: relaxed, PBE-GGA. Values from VASP.

Quantum ESPRESSO input file:
```
&SYSTEM
  ibrav = 0, nat = 5, ntyp = 4
/
ATOMIC_SPECIES
Na 22.99 Na.upf
Hf 178.49 Hf.upf
Os 190.23 Os.upf
Ta 180.95 Ta.upf
CELL_PARAMETERS angstrom
5.068 0.000 0.000
0.000 4.793 0.000
0.000 0.000 5.068
ATOMIC_POSITIONS crystal
Na 0.000 0.000 0.500
Na 0.500 0.000 0.000
Hf 0.500 0.500 0.500
Os 0.000 0.000 0.000
Ta 0.000 0.500 0.000
```

Energy relative to the elements ... 1.5669 eV per atom
Calculated volume ... 123.11 Å³/f.u.


Na2YHfOs: relaxed, PBE-GGA. Values from VASP.

Quantum ESPRESSO input file:
```
&SYSTEM
  ibrav = 0, nat = 5, ntyp = 4
/
ATOMIC_SPECIES
Y 88.91 Y.upf
Hf 178.49 Hf.upf
Os 190.23 Os.upf
Na 22.99 Na.upf
CELL_PARAMETERS angstrom
5.364 0.000 0.000
0.000 4.911 0.000
0.000 0.000 5.364
ATOMIC_POSITIONS crystal
Y 0.500 0.500 0.500
Hf 0.000 0.500 0.000
Os 0.000 0.000 0.000
Na 0.000 0.000 0.500
Na 0.500 0.000 0.000
```

Energy relative to the elements ... 0.8993 eV per atom
Calculated volume ... 141.30 Å³/f.u.


NaHfZnOs2: relaxed, PBE-GGA. Values from VASP.

Quantum ESPRESSO input file:
```
&SYSTEM
  ibrav = 0, nat = 5, ntyp = 4
/
ATOMIC_SPECIES
Hf 178.49 Hf.upf
Zn 65.41 Zn.upf
Os 190.23 Os.upf
Na 22.99 Na.upf
CELL_PARAMETERS angstrom
4.624 0.000 0.000
0.000 4.771 0.000
0.000 0.000 4.624
ATOMIC_POSITIONS crystal
Hf 0.000 0.500 0.000
Zn 0.000 0.000 0.000
Os 0.000 0.000 0.500
Os 0.500 0.000 0.000
Na 0.500 0.500 0.500
```

Energy relative to the elements ... 1.4633 eV per atom
Calculated volume ... 102.00 Å³/f.u.


Na3HfP: relaxed, PBE-GGA. Values from VASP.

Quantum ESPRESSO input file:
```
&SYSTEM
  ibrav = 0, nat = 5, ntyp = 3
/
ATOMIC_SPECIES
P 30.97 P.upf
Hf 178.49 Hf.upf
Na 22.99 Na.upf
CELL_PARAMETERS angstrom
5.938 0.000 0.000
0.000 5.938 0.000
0.000 0.000 5.938
ATOMIC_POSITIONS crystal
P 0.500 0.500 0.500
Hf 0.000 0.000 0.000
Na 0.000 0.500 0.000
Na 0.000 0.000 0.500
Na 0.500 0.000 0.000
```

Energy relative to the elements ... 1.6382 eV per atom
Calculated volume ... 209.34 Å³/f.u.
ΔE to the lowest computed polymorph ... 837.4 meV/atom


Na2HfP2: relaxed, PBE-GGA. Values from VASP.

Quantum ESPRESSO input file:
```
&SYSTEM
  ibrav = 0, nat = 10, ntyp = 3
/
ATOMIC_SPECIES
P 30.97 P.upf
Hf 178.49 Hf.upf
Na 22.99 Na.upf
CELL_PARAMETERS angstrom
-4.322 -1.687 4.762
5.039 -1.002 4.219
-0.256 4.594 1.396
ATOMIC_POSITIONS crystal
P 0.373 0.873 0.000
P 0.873 0.627 0.000
P 0.627 0.127 0.000
P 0.127 0.373 0.000
Hf 0.000 0.000 0.000
Hf 0.500 0.500 0.000
Na 0.172 0.672 0.500
Na 0.672 0.828 0.500
Na 0.828 0.328 0.500
Na 0.328 0.172 0.500
```

Energy relative to the elements ... -0.3022 eV per atom
Calculated volume ... 106.26 Å³/f.u.


NaHfP: relaxed, PBE-GGA. Values from VASP.

Quantum ESPRESSO input file:
```
&SYSTEM
  ibrav = 0, nat = 6, ntyp = 3
/
ATOMIC_SPECIES
Na 22.99 Na.upf
P 30.97 P.upf
Hf 178.49 Hf.upf
CELL_PARAMETERS angstrom
3.446 -0.920 0.188
0.924 3.445 0.188
1.649 0.953 11.521
ATOMIC_POSITIONS crystal
Na 0.066 0.066 0.275
Na 0.686 0.686 0.032
P 0.706 0.706 0.504
P 0.048 0.048 0.803
Hf 0.173 0.173 0.567
Hf 0.581 0.581 0.740
```

Energy relative to the elements ... -0.7458 eV per atom
Calculated volume ... 72.38 Å³/f.u.


NaHf2P2: relaxed, PBE-GGA. Values from VASP.

Quantum ESPRESSO input file:
```
&SYSTEM
  ibrav = 0, nat = 10, ntyp = 3
/
ATOMIC_SPECIES
P 30.97 P.upf
Hf 178.49 Hf.upf
Na 22.99 Na.upf
CELL_PARAMETERS angstrom
-0.365 6.677 2.781
-6.574 0.855 -2.915
-1.428 -1.265 2.850
ATOMIC_POSITIONS crystal
P 0.356 0.856 0.000
P 0.856 0.644 0.000
P 0.644 0.144 0.000
P 0.144 0.356 0.000
Hf 0.148 0.648 0.500
Hf 0.648 0.852 0.500
Hf 0.852 0.352 0.500
Hf 0.352 0.148 0.500
Na 0.000 0.000 0.000
Na 0.500 0.500 0.000
```

Energy relative to the elements ... -0.7330 eV per atom
Calculated volume ... 89.94 Å³/f.u.


Na3HfP: relaxed, PBE-GGA. Values from VASP.

Quantum ESPRESSO input file:
```
&SYSTEM
  ibrav = 0, nat = 5, ntyp = 3
/
ATOMIC_SPECIES
P 30.97 P.upf
Hf 178.49 Hf.upf
Na 22.99 Na.upf
CELL_PARAMETERS angstrom
-4.807 -0.260 2.354
2.343 -1.297 4.641
0.345 5.193 1.277
ATOMIC_POSITIONS crystal
P 0.000 0.000 0.000
Hf 0.500 0.500 0.500
Na 0.000 0.500 0.000
Na 0.000 0.000 0.500
Na 0.500 0.000 0.000
```

Energy relative to the elements ... 0.8009 eV per atom
Calculated volume ... 153.89 Å³/f.u.
ΔE to the lowest computed polymorph ... 0.0 meV/atom


NaHfP2S: relaxed, PBE-GGA. Values from VASP.

Quantum ESPRESSO input file:
```
&SYSTEM
  ibrav = 0, nat = 5, ntyp = 4
/
ATOMIC_SPECIES
P 30.97 P.upf
S 32.06 S.upf
Hf 178.49 Hf.upf
Na 22.99 Na.upf
CELL_PARAMETERS angstrom
-3.411 3.130 0.003
-2.812 -3.066 2.031
1.407 1.528 4.252
ATOMIC_POSITIONS crystal
P 0.000 0.500 0.000
P 0.500 0.000 0.000
S 0.000 0.000 0.500
Hf 0.500 0.500 0.500
Na 0.000 0.000 0.000
```

ΔE_f (raw) ... 0.982 eV per atom
Calculated volume ... 101.42 Å³/f.u.
ΔE to the lowest computed polymorph ... 1290.0 meV/atom


NaHfP2S: relaxed, PBE-GGA. Values from VASP.

Quantum ESPRESSO input file:
```
&SYSTEM
  ibrav = 0, nat = 5, ntyp = 4
/
ATOMIC_SPECIES
P 30.97 P.upf
S 32.06 S.upf
Hf 178.49 Hf.upf
Na 22.99 Na.upf
CELL_PARAMETERS angstrom
-1.085 -4.102 -2.687
1.743 -2.895 3.716
-4.550 -0.129 2.034
ATOMIC_POSITIONS crystal
P 0.000 0.500 0.000
P 0.500 0.000 0.000
S 0.000 0.000 0.500
Hf 0.000 0.000 0.000
Na 0.500 0.500 0.500
```

ΔE_f (raw) ... -0.308 eV per atom
Calculated volume ... 125.78 Å³/f.u.
ΔE to the lowest computed polymorph ... 0.0 meV/atom


NaHfPS: relaxed, PBE-GGA. Values from VASP.

Quantum ESPRESSO input file:
```
&SYSTEM
  ibrav = 0, nat = 4, ntyp = 4
/
ATOMIC_SPECIES
Na 22.99 Na.upf
Hf 178.49 Hf.upf
P 30.97 P.upf
S 32.06 S.upf
CELL_PARAMETERS angstrom
3.742 -0.001 0.000
-1.871 3.241 0.000
-1.871 -1.080 6.957
ATOMIC_POSITIONS crystal
Na 0.964 0.380 0.359
Hf 0.311 0.553 0.879
P 0.110 0.953 0.077
S 0.494 0.145 0.654
```

ΔE_f (raw) ... -1.159 eV per atom
Calculated volume ... 84.35 Å³/f.u.


Na2HfPSe: relaxed, PBE-GGA. Values from VASP.

Quantum ESPRESSO input file:
```
&SYSTEM
  ibrav = 0, nat = 5, ntyp = 4
/
ATOMIC_SPECIES
P 30.97 P.upf
Hf 178.49 Hf.upf
Se 78.96 Se.upf
Na 22.99 Na.upf
CELL_PARAMETERS angstrom
-1.166 -2.243 -4.364
4.669 0.639 -1.576
1.273 -4.470 1.958
ATOMIC_POSITIONS crystal
P 0.000 0.000 0.000
Hf 0.000 0.500 0.000
Se 0.500 0.500 0.500
Na 0.000 0.000 0.500
Na 0.500 0.000 0.000
```

ΔE_f (raw) ... -0.212 eV per atom
Calculated volume ... 126.40 Å³/f.u.


Na2Hf2PaS6: relaxed, PBE-GGA. Values from VASP.

Quantum ESPRESSO input file:
```
&SYSTEM
  ibrav = 0, nat = 11, ntyp = 4
/
ATOMIC_SPECIES
Na 22.99 Na.upf
Hf 178.49 Hf.upf
Pa 231.04 Pa.upf
S 32.06 S.upf
CELL_PARAMETERS angstrom
-2.672 -3.874 4.391
2.067 -2.387 -5.609
6.449 0.932 3.195
ATOMIC_POSITIONS crystal
Na 0.836 0.164 0.000
Na 0.164 0.836 0.000
Hf 0.333 0.667 0.500
Hf 0.667 0.333 0.500
Pa 0.000 0.000 0.500
S 0.726 0.726 0.720
S 0.072 0.418 0.721
S 0.274 0.274 0.280
S 0.418 0.072 0.721
S 0.928 0.582 0.279
S 0.582 0.928 0.279
```

ΔE_f (raw) ... -1.507 eV per atom
Calculated volume ... 248.18 Å³/f.u.


Na4Hf3PaS8: relaxed, PBE-GGA. Values from VASP.

Quantum ESPRESSO input file:
```
&SYSTEM
  ibrav = 0, nat = 16, ntyp = 4
/
ATOMIC_SPECIES
Na 22.99 Na.upf
Hf 178.49 Hf.upf
Pa 231.04 Pa.upf
S 32.06 S.upf
CELL_PARAMETERS angstrom
-3.449 -6.195 -2.098
2.059 -3.515 6.994
-3.744 6.365 0.391
ATOMIC_POSITIONS crystal
Na 0.500 0.000 0.000
Na 0.500 0.000 0.500
Na 0.000 0.000 0.000
Na 0.000 0.000 0.500
Hf 0.500 0.500 0.000
Hf 0.500 0.500 0.500
Hf 0.000 0.500 0.500
Pa 0.000 0.500 0.000
S 0.249 0.728 0.978
S 0.249 0.728 0.499
S 0.261 0.282 0.521
S 0.729 0.728 0.978
S 0.271 0.272 0.022
S 0.739 0.718 0.479
S 0.751 0.272 0.501
S 0.751 0.272 0.022
```

ΔE_f (raw) ... -1.454 eV per atom
Calculated volume ... 325.63 Å³/f.u.


Na3Hf2PaSe6: relaxed, PBE-GGA. Values from VASP.

Quantum ESPRESSO input file:
```
&SYSTEM
  ibrav = 0, nat = 12, ntyp = 4
/
ATOMIC_SPECIES
Na 22.99 Na.upf
Hf 178.49 Hf.upf
Pa 231.04 Pa.upf
Se 78.96 Se.upf
CELL_PARAMETERS angstrom
6.709 -0.005 -0.002
-3.357 5.809 -0.002
-1.120 -1.939 7.249
ATOMIC_POSITIONS crystal
Na 0.163 0.837 0.500
Na 0.837 0.163 0.500
Na 0.500 0.500 0.500
Hf 0.333 0.667 0.000
Hf 0.667 0.333 0.000
Pa 0.000 0.000 0.000
Se 0.924 0.577 0.772
Se 0.729 0.729 0.227
Se 0.076 0.423 0.228
Se 0.577 0.924 0.772
Se 0.271 0.271 0.773
Se 0.423 0.076 0.228
```

ΔE_f (raw) ... -1.250 eV per atom
Calculated volume ... 282.36 Å³/f.u.


Na2HfPa2Se6: relaxed, PBE-GGA. Values from VASP.

Quantum ESPRESSO input file:
```
&SYSTEM
  ibrav = 0, nat = 11, ntyp = 4
/
ATOMIC_SPECIES
Na 22.99 Na.upf
Hf 178.49 Hf.upf
Pa 231.04 Pa.upf
Se 78.96 Se.upf
CELL_PARAMETERS angstrom
6.862 0.019 0.076
-3.375 5.975 0.076
-1.226 -2.108 7.222
ATOMIC_POSITIONS crystal
Na 0.829 0.171 0.000
Na 0.171 0.829 0.000
Hf 0.000 0.000 0.500
Pa 0.337 0.663 0.500
Pa 0.663 0.337 0.500
Se 0.764 0.764 0.732
Se 0.075 0.394 0.727
Se 0.236 0.236 0.268
Se 0.394 0.075 0.727
Se 0.925 0.606 0.273
Se 0.606 0.925 0.273
```

ΔE_f (raw) ... -1.292 eV per atom
Calculated volume ... 298.77 Å³/f.u.


Na3HfPa2Se6: relaxed, PBE-GGA. Values from VASP.

Quantum ESPRESSO input file:
```
&SYSTEM
  ibrav = 0, nat = 12, ntyp = 4
/
ATOMIC_SPECIES
Na 22.99 Na.upf
Hf 178.49 Hf.upf
Pa 231.04 Pa.upf
Se 78.96 Se.upf
CELL_PARAMETERS angstrom
-2.251 1.960 -2.595
-4.154 -7.322 -1.927
-3.184 3.306 8.271
ATOMIC_POSITIONS crystal
Na 0.500 0.500 0.000
Na 0.832 0.165 0.663
Na 0.168 0.835 0.337
Hf 0.500 0.000 0.000
Pa 0.834 0.667 0.667
Pa 0.166 0.333 0.333
Se 0.343 0.918 0.686
Se 0.667 0.582 0.334
Se 0.657 0.082 0.314
Se 0.001 0.223 0.002
Se 0.999 0.777 0.998
Se 0.333 0.418 0.666
```

ΔE_f (raw) ... -1.254 eV per atom
Calculated volume ... 297.46 Å³/f.u.


Na4HfPa3Te8: relaxed, PBE-GGA. Values from VASP.

Quantum ESPRESSO input file:
```
&SYSTEM
  ibrav = 0, nat = 16, ntyp = 4
/
ATOMIC_SPECIES
Na 22.99 Na.upf
Hf 178.49 Hf.upf
Pa 231.04 Pa.upf
Te 127.60 Te.upf
CELL_PARAMETERS angstrom
-6.736 5.007 -1.151
-0.661 -2.916 -8.813
-0.116 -5.931 6.050
ATOMIC_POSITIONS crystal
Na 0.500 0.000 0.000
Na 0.500 0.000 0.500
Na 0.000 0.000 0.000
Na 0.000 0.000 0.500
Hf 0.000 0.500 0.000
Pa 0.500 0.500 0.000
Pa 0.500 0.500 0.500
Pa 0.000 0.500 0.500
Te 0.237 0.733 0.996
Te 0.237 0.733 0.473
Te 0.252 0.256 0.504
Te 0.760 0.733 0.996
Te 0.240 0.267 0.004
Te 0.748 0.744 0.496
Te 0.763 0.267 0.527
Te 0.763 0.267 0.004
```

ΔE_f (raw) ... -0.836 eV per atom
Calculated volume ... 491.97 Å³/f.u.


Na3HfPa2Te6: relaxed, PBE-GGA. Values from VASP.

Quantum ESPRESSO input file:
```
&SYSTEM
  ibrav = 0, nat = 12, ntyp = 4
/
ATOMIC_SPECIES
Na 22.99 Na.upf
Hf 178.49 Hf.upf
Pa 231.04 Pa.upf
Te 127.60 Te.upf
CELL_PARAMETERS angstrom
-0.309 -3.238 -6.540
4.623 -2.476 5.084
-7.020 -2.993 3.174
ATOMIC_POSITIONS crystal
Na 0.172 0.828 0.500
Na 0.828 0.172 0.500
Na 0.500 0.500 0.500
Hf 0.000 0.000 0.000
Pa 0.334 0.666 0.000
Pa 0.666 0.334 0.000
Te 0.923 0.605 0.766
Te 0.762 0.762 0.235
Te 0.077 0.395 0.234
Te 0.605 0.923 0.766
Te 0.238 0.238 0.765
Te 0.395 0.077 0.234
```

ΔE_f (raw) ... -0.837 eV per atom
Calculated volume ... 364.95 Å³/f.u.


Na2Hf2PaTe6: relaxed, PBE-GGA. Values from VASP.

Quantum ESPRESSO input file:
```
&SYSTEM
  ibrav = 0, nat = 11, ntyp = 4
/
ATOMIC_SPECIES
Na 22.99 Na.upf
Hf 178.49 Hf.upf
Pa 231.04 Pa.upf
Te 127.60 Te.upf
CELL_PARAMETERS angstrom
7.113 -0.028 0.080
-3.540 6.170 0.080
-1.252 -2.152 7.863
ATOMIC_POSITIONS crystal
Na 0.840 0.160 0.000
Na 0.160 0.840 0.000
Hf 0.331 0.669 0.500
Hf 0.669 0.331 0.500
Pa 0.000 0.000 0.500
Te 0.721 0.721 0.725
Te 0.077 0.422 0.728
Te 0.279 0.279 0.275
Te 0.422 0.077 0.728
Te 0.923 0.578 0.272
Te 0.578 0.923 0.272
```

ΔE_f (raw) ... -0.845 eV per atom
Calculated volume ... 346.71 Å³/f.u.